Entry 1:
# PBE Na2ZnGa4Ge3, relaxed
# Formation enthalpy at 0 K ... -0.087 eV per atom
# Total moment ... 0.00 Bohr magnetons per cell
# Space-group type ... No. 115
# Final energy ... -3.074 eV per atom
data_Na2ZnGa4Ge3
_chemical_formula_sum 'Na2 Zn1 Ga4 Ge3'
_cell_length_a 4.433
_cell_length_b 4.433
_cell_length_c 10.740
_cell_angle_alpha 90.00
_cell_angle_beta 90.00
_cell_angle_gamma 90.00
_symmetry_space_group_name_H-M 'P 1'
_symmetry_Int_Tables_number 1
_symmetry_space_group_name_Hall 'P 1'
loop_
_atom_site_label
_atom_site_type_symbol
_atom_site_fract_x
_atom_site_fract_y
_atom_site_fract_z
Na1 Na 0.500 0.000 0.259
Na2 Na 0.000 0.500 0.741
Zn1 Zn 0.500 0.500 0.500
Ga1 Ga 0.500 0.500 0.000
Ga2 Ga 0.000 0.000 0.000
Ga3 Ga 0.500 0.000 0.633
Ga4 Ga 0.000 0.500 0.367
Ge1 Ge 0.000 0.000 0.500
Ge2 Ge 0.500 0.000 0.866
Ge3 Ge 0.000 0.500 0.134


Entry 2:
# PBE NaPd2Pb5, relaxed
# Formation enthalpy at 0 K ... -0.157 eV per atom
# Total moment ... 0.00 Bohr magnetons per cell
# Space-group type ... No. 71
# Final energy ... -3.938 eV per atom
data_NaPd2Pb5
_chemical_formula_sum 'Na1 Pd2 Pb5'
_cell_length_a 3.702
_cell_length_b 7.629
_cell_length_c 8.671
_cell_angle_alpha 116.10
_cell_angle_beta 102.33
_cell_angle_gamma 90.00
_symmetry_space_group_name_H-M 'P 1'
_symmetry_Int_Tables_number 1
_symmetry_space_group_name_Hall 'P 1'
loop_
_atom_site_label
_atom_site_type_symbol
_atom_site_fract_x
_atom_site_fract_y
_atom_site_fract_z
Na1 Na 0.000 0.000 0.000
Pd1 Pd 0.194 0.694 0.387
Pd2 Pd 0.806 0.306 0.613
Pb1 Pb 0.000 0.500 0.000
Pb2 Pb 0.651 0.378 0.302
Pb3 Pb 0.349 0.622 0.698
Pb4 Pb 0.651 0.924 0.302
Pb5 Pb 0.349 0.076 0.698


Entry 3:
# PBE ThCuAgHg, relaxed
# Formation enthalpy at 0 K ... -0.105 eV per atom
# Total moment ... 0.00 Bohr magnetons per cell
# Space-group type ... No. 216
# Final energy ... -3.772 eV per atom
data_ThCuAgHg
_chemical_formula_sum 'Th1 Cu1 Ag1 Hg1'
_cell_length_a 4.951
_cell_length_b 4.951
_cell_length_c 4.951
_cell_angle_alpha 60.00
_cell_angle_beta 60.00
_cell_angle_gamma 60.00
_symmetry_space_group_name_H-M 'P 1'
_symmetry_Int_Tables_number 1
_symmetry_space_group_name_Hall 'P 1'
loop_
_atom_site_label
_atom_site_type_symbol
_atom_site_fract_x
_atom_site_fract_y
_atom_site_fract_z
Ag1 Ag 0.000 0.000 0.000
Cu1 Cu 0.500 0.500 0.500
Hg1 Hg 0.750 0.750 0.750
Th1 Th 0.250 0.250 0.250


Entry 4:
# PBE La4NdTm5, relaxed
# Formation enthalpy at 0 K ... 0.028 eV per atom
# Polymorph energy (0 for the lowest one) ... 0.00 eV/f.u.
# Total moment ... 0.00 Bohr magnetons per cell
# Space-group type ... No. 123
# Final energy ... -4.655 eV per atom
data_La4NdTm5
_chemical_formula_sum 'La4 Nd1 Tm5'
_cell_length_a 3.675
_cell_length_b 3.675
_cell_length_c 24.691
_cell_angle_alpha 90.00
_cell_angle_beta 90.00
_cell_angle_gamma 90.00
_symmetry_space_group_name_H-M 'P 1'
_symmetry_Int_Tables_number 1
_symmetry_space_group_name_Hall 'P 1'
loop_
_atom_site_label
_atom_site_type_symbol
_atom_site_fract_x
_atom_site_fract_y
_atom_site_fract_z
La1 La 0.000 0.000 0.200
La2 La 0.000 0.000 0.400
La3 La 0.000 0.000 0.600
La4 La 0.000 0.000 0.800
Nd1 Nd 0.000 0.000 0.000
Tm1 Tm 0.500 0.500 0.098
Tm2 Tm 0.500 0.500 0.300
Tm3 Tm 0.500 0.500 0.500
Tm4 Tm 0.500 0.500 0.700
Tm5 Tm 0.500 0.500 0.902


Entry 5:
# PBE K2HoTaO6, relaxed
# Total moment ... 2.04 Bohr magnetons per cell
# Space-group type ... No. 225
# Final energy ... -7.192 eV per atom
data_K2HoTaO6
_chemical_formula_sum 'K2 Ho1 Ta1 O6'
_cell_length_a 6.019
_cell_length_b 6.019
_cell_length_c 6.022
_cell_angle_alpha 59.99
_cell_angle_beta 59.99
_cell_angle_gamma 90.00
_symmetry_space_group_name_H-M 'P 1'
_symmetry_Int_Tables_number 1
_symmetry_space_group_name_Hall 'P 1'
loop_
_atom_site_label
_atom_site_type_symbol
_atom_site_fract_x
_atom_site_fract_y
_atom_site_fract_z
K1 K 0.250 0.750 0.500
K2 K 0.750 0.250 0.500
Ho1 Ho 0.500 0.500 0.000
Ta1 Ta 0.000 0.000 0.000
O1 O 0.235 0.765 0.000
O2 O 0.765 0.765 0.000
O3 O 0.235 0.235 0.531
O4 O 0.765 0.235 0.000
O5 O 0.235 0.235 0.000
O6 O 0.765 0.765 0.469


Entry 6:
# PBE SnPC, relaxed
# Formation enthalpy at 0 K ... 0.450 eV per atom
# Polymorph energy (0 for the lowest one) ... 0.00 eV/f.u.
# Total moment ... 0.00 Bohr magnetons per cell
# Space-group type ... No. 160
# Final energy ... -5.762 eV per atom
data_SnPC
_chemical_formula_sum 'Sn3 P3 C3'
_cell_length_a 3.022
_cell_length_b 3.022
_cell_length_c 19.250
_cell_angle_alpha 90.00
_cell_angle_beta 90.00
_cell_angle_gamma 120.00
_symmetry_space_group_name_H-M 'P 1'
_symmetry_Int_Tables_number 1
_symmetry_space_group_name_Hall 'P 1'
loop_
_atom_site_label
_atom_site_type_symbol
_atom_site_fract_x
_atom_site_fract_y
_atom_site_fract_z
P1 P 0.000 0.000 0.486
P2 P 0.333 0.667 0.153
P3 P 0.667 0.333 0.819
C1 C 0.000 0.000 0.780
C2 C 0.333 0.667 0.447
C3 C 0.667 0.333 0.113
Sn1 Sn 0.000 0.000 0.656
Sn2 Sn 0.333 0.667 0.323
Sn3 Sn 0.667 0.333 0.990


Entry 7:
# PBE NaF, relaxed
# Polymorph energy (0 for the lowest one) ... 0.00 eV/f.u.
# Total moment ... 0.00 Bohr magnetons per cell
# Space-group type ... No. 225
# Final energy ... -4.324 eV per atom
data_NaF
_chemical_formula_sum 'Na1 F1'
_cell_length_a 3.316
_cell_length_b 3.316
_cell_length_c 3.316
_cell_angle_alpha 60.00
_cell_angle_beta 60.00
_cell_angle_gamma 60.00
_symmetry_space_group_name_H-M 'P 1'
_symmetry_Int_Tables_number 1
_symmetry_space_group_name_Hall 'P 1'
loop_
_atom_site_label
_atom_site_type_symbol
_atom_site_fract_x
_atom_site_fract_y
_atom_site_fract_z
Na1 Na 0.000 0.000 0.000
F1 F 0.500 0.500 0.500


Entry 8:
# PBE CsCa2LaPt, relaxed
# Formation enthalpy at 0 K ... -0.326 eV per atom
# Total moment ... 0.00 Bohr magnetons per cell
# Space-group type ... No. 123
# Final energy ... -3.491 eV per atom
data_CsCa2LaPt
_chemical_formula_sum 'Cs1 Ca2 La1 Pt1'
_cell_length_a 5.982
_cell_length_b 5.982
_cell_length_c 5.651
_cell_angle_alpha 90.00
_cell_angle_beta 90.00
_cell_angle_gamma 90.00
_symmetry_space_group_name_H-M 'P 1'
_symmetry_Int_Tables_number 1
_symmetry_space_group_name_Hall 'P 1'
loop_
_atom_site_label
_atom_site_type_symbol
_atom_site_fract_x
_atom_site_fract_y
_atom_site_fract_z
Cs1 Cs 0.500 0.500 0.500
Ca1 Ca 0.000 0.500 0.000
Ca2 Ca 0.500 0.000 0.000
Pt1 Pt 0.000 0.000 0.000
La1 La 0.000 0.000 0.500